# 1
Computed, not measured: an optimized crystal structure of LiCaSiN2 at the PBE level of DFT.

Output
* VASP energy: -60.3 eV/cell
* DOS(E_F): 1.78 states/eV/cell

Structure (POSCAR):
```
LiCaSiN2
1.0
-1.6048 0.2681 -2.5201
4.3380 -4.4205 -5.0179
-3.7298 -4.9171 0.0667
Li N Ca Si
2 4 2 2
direct
0.6169 0.6721 0.0942
0.3831 0.3279 0.9058
0.4004 0.8704 0.3289
0.8811 0.1515 0.0863
0.1189 0.8485 0.9137
0.5996 0.1296 0.6711
0.1903 0.2505 0.3688
0.8097 0.7495 0.6312
0.0578 0.0670 0.8174
0.9422 0.9330 0.1826
```



# 2
Computed, not measured: an optimized crystal structure of TbPaCuSi at the PBE level of DFT.

Output
* VASP energy: -24.3 eV/cell
* DOS(E_F): 4.75 states/eV/cell

Structure (POSCAR):
```
TbPaCuSi
1.0
4.9171 0.0000 0.0000
2.4586 4.2584 0.0000
2.4586 1.4195 4.0148
Pa Cu Si Tb
1 1 1 1
direct
0.2500 0.2500 0.2500
0.5000 0.5000 0.5000
0.0000 0.0000 0.0000
0.7500 0.7500 0.7500
```



# 3
Computed, not measured: an optimized crystal structure of CsNaMoBr2 at the PBE level of DFT.

Output
* VASP energy: -16.2 eV/cell
* DOS(E_F): 0.00 states/eV/cell

Structure (POSCAR):
```
CsNaMoBr2
1.0
5.7889 0.0000 0.0000
0.0000 5.9080 0.0000
0.0000 0.0000 5.7889
Cs Br Mo Na
1 2 1 1
direct
0.5000 0.5000 0.5000
0.0000 0.0000 0.5000
0.5000 0.0000 0.0000
0.0000 0.5000 0.0000
0.0000 0.0000 0.0000
```